VASP calculation (PBE) on a geometry-optimized MgTcSnP structure.

* N(E_F): 1.814 states/eV/f.u.
* distance to the lowest polymorph of the same formula: 0.028 eV/atom
* total DFT energy (no corrections): -22.312 eV/f.u.
* formation energy from the elements: -0.235 eV per atom

Lattice parameters (Å, degrees): 3.2948 3.2948 7.8881 90.00 90.00 120.00
Space group P3m1 (No. 156)
One atom of each set of equivalent atoms:
Mg1 0.0000 0.0000 0.0000 [1 per cell]
Tc1 0.0000 0.0000 0.4091 [1 per cell]
Sn1 0.6667 0.3333 0.6851 [1 per cell]
P1 0.3333 0.6667 0.2346 [1 per cell]